No. 1
Re2Te4W | PBE | optimized geometry

abc: 5.4517 5.4517 7.5368
angles: 68.80 68.80 90.00
Last column: nearest neighbours and their distance in Å.
Positions (direct):
Te (0.0000, 0.5000, 0.0000)  2 W 2.73, 4 Re 2.96
Te (0.5000, 0.0000, 0.0000)  2 W 2.73, 4 Re 2.96
Te (0.2075, 0.2075, 0.5849)  1 Re 2.63, 1 W 2.69
W (0.0000, 0.0000, 0.0000)  6 Te 2.69-2.73
Re (0.5897, 0.5897, 0.8205)  1 Re 2.32
Te (0.7925, 0.7925, 0.4151)  1 Re 2.63, 1 W 2.69
Re (0.4103, 0.4103, 0.1795)  1 Re 2.32

Summary:
Crystal system = tetragonal
Electronic total energy = -6.0486 eV/atom
ρ = 9.2 g/cm3
Total magnetic moment = 0.43 μB per atom

***

No. 2
YPu3Ir2 | PBE | optimized geometry

abc: 4.1837 7.5217 8.9281
angles: 90.00 90.00 90.00
Last column: nearest neighbours and their distance in Å.
Positions (direct):
Ir (0.0000, 0.7402, 0.3887)  4 Pu 2.83-2.90, 4 Y 3.02-3.13
Pu (0.0000, 0.9760, 0.0769)  2 Ir 2.92
Pu (0.0000, 0.3678, 0.3137)  4 Ir 2.79-2.88
Pu (0.0000, 0.8678, 0.6863)  4 Ir 2.79-2.88
Ir (0.5000, 0.7360, 0.8609)  5 Pu 2.79-2.92, 1 Y 2.97
Ir (0.5000, 0.2360, 0.1391)  5 Pu 2.79-2.92, 1 Y 2.97
Pu (0.5000, 0.1529, 0.8230)  4 Ir 2.89-3.15, 2 Pu 3.23
Pu (0.5000, 0.6529, 0.1770)  4 Ir 2.89-3.15, 2 Pu 3.23
Ir (0.0000, 0.2402, 0.6113)  4 Pu 2.83-2.90, 4 Y 3.02-3.13
Y (0.5000, 0.0271, 0.4219)  5 Ir 2.97-3.13
Y (0.5000, 0.5271, 0.5781)  5 Ir 2.97-3.13
Pu (0.0000, 0.4760, 0.9231)  2 Ir 2.92

Summary:
Crystal system = orthorhombic
ρ = 14.2 g/cm3
Calculated formation energy = -0.40 eV/atom
Total magnetic moment = 0.94 μB per atom

***

No. 3
ZnIn2Au9 | PBE | optimized geometry

abc: 7.1678 7.4720 8.3262
angles: 49.33 119.19 85.11
Last column: nearest neighbours and their distance in Å.
Positions (direct):
Au (0.8191, 0.3822, 0.9818)  7 Au 2.86-3.03, 1 Zn 2.91, 2 In 3.00-3.02
In (0.1064, 0.3420, 0.4283)  10 Au 2.84-3.14
Zn (0.0000, 0.0000, 0.0000)  6 Au 2.63-2.91
Au (0.5884, 0.7250, 0.1320)  6 Au 2.82-3.06, 3 In 2.84-3.14
Au (0.6550, 0.9486, 0.7440)  1 Zn 2.63, 5 Au 2.84-2.94
Au (0.1809, 0.6178, 0.0182)  7 Au 2.86-3.03, 1 Zn 2.91, 2 In 3.00-3.02
In (0.8936, 0.6580, 0.5717)  10 Au 2.84-3.14
Au (0.2764, 0.8052, 0.6493)  9 Au 2.86-3.12, 2 In 2.88-2.98
Au (0.3450, 0.0514, 0.2560)  1 Zn 2.63, 5 Au 2.84-2.94
Au (0.5000, 0.5000, 0.5000)  2 Zn 2.65, 6 Au 2.82-2.91
Au (0.7236, 0.1948, 0.3507)  9 Au 2.86-3.12, 2 In 2.88-2.98
Au (0.4116, 0.2750, 0.8680)  6 Au 2.82-3.06, 3 In 2.84-3.14

Summary:
Crystal system = triclinic
ρ = 14.7 g/cm3
Calculated formation energy = -0.08 eV/atom
Total magnetic moment = 0.00 μB per atom

***

No. 4
SrSiSb | PBE | optimized geometry

abc: 6.1865 6.1859 3.8426
angles: 71.91 71.90 36.19
Last column: nearest neighbours and their distance in Å.
Positions (direct):
Sr (0.6670, 0.6670, 0.3330)  5 Sb 3.24-3.57, 5 Si 3.25-3.56
Sb (0.9589, 0.9589, 0.0411)  4 Si 2.88
Si (0.3742, 0.3742, 0.6258)  4 Sb 2.88

Summary:
Crystal system = tetragonal
ρ = 4.8 g/cm3
Energy above the most stable polymorph in this dataset = 0.227 eV per atom
Total magnetic moment = 0.00 μB per atom

***

No. 5
Re4RuRh | PBE | optimized geometry

abc: 5.1108 5.1108 5.1108
angles: 60.00 60.00 60.00
Last column: nearest neighbours and their distance in Å.
Positions (direct):
Re (0.8739, 0.3754, 0.3754)  6 Re 2.55-2.56
Ru (0.0000, 0.0000, 0.0000)  12 Re 3.00, 4 Rh 3.13
Re (0.3754, 0.8739, 0.3754)  6 Re 2.55-2.56
Rh (0.7500, 0.7500, 0.7500)  12 Re 3.00, 4 Ru 3.13
Re (0.3754, 0.3754, 0.8739)  6 Re 2.55-2.56
Re (0.3754, 0.3754, 0.3754)  6 Re 2.55-2.56

Summary:
Crystal system = cubic
ρ = 16.7 g/cm3
Energy above the most stable polymorph in this dataset = 0.387 eV per atom
Calculated formation energy = 0.40 eV/atom
Total magnetic moment = 0.00 μB per atom

***

No. 6
CdCu3Hg | PBE | optimized geometry

abc: 4.8605 4.8605 4.8605
angles: 90.00 90.00 90.00
Last column: nearest neighbours and their distance in Å.
Positions (direct):
Cu (0.5000, 0.0000, 0.0000)  2 Cd 2.43
Hg (0.5000, 0.5000, 0.5000)  12 Cu 3.44
Cu (0.0000, 0.0000, 0.5000)  2 Cd 2.43
Cu (0.0000, 0.5000, 0.0000)  2 Cd 2.43
Cd (0.0000, 0.0000, 0.0000)  6 Cu 2.43

Summary:
Crystal system = cubic
ρ = 7.3 g/cm3
Energy above the most stable polymorph in this dataset = 0.056 eV per atom
Calculated formation energy = 0.85 eV/atom
Total magnetic moment = 0.00 μB per atom

***

No. 7
LaAlRe2 | PBE | optimized geometry

abc: 5.3494 5.3494 2.7419
angles: 90.00 90.00 109.18
Last column: nearest neighbours and their distance in Å.
Positions (direct):
Al (0.5000, 0.0000, 0.5000)  2 Al 2.74, 8 Re 3.01
La (0.0000, 0.5000, 0.5000)  2 La 2.74, 8 Re 3.01
Re (0.0000, 0.0000, 0.0000)  2 Re 2.74, 4 Al 3.01, 4 La 3.01
Re (0.5000, 0.5000, 0.0000)  2 Re 2.74, 4 La 3.01, 4 Al 3.01

Summary:
Crystal system = orthorhombic
ρ = 12.1 g/cm3
Calculated formation energy = 0.70 eV/atom
Total magnetic moment = 0.00 μB per atom

***

No. 8
EuPuZn4 | PBE | optimized geometry

abc: 5.5603 5.5603 5.5603
angles: 60.00 60.00 60.00
Last column: nearest neighbours and their distance in Å.
Positions (direct):
Zn (0.1260, 0.6247, 0.6247)  6 Zn 2.77-2.79
Zn (0.6247, 0.6247, 0.1260)  6 Zn 2.77-2.79
Zn (0.6247, 0.1260, 0.6247)  6 Zn 2.77-2.79
Pu (0.2500, 0.2500, 0.2500)  12 Zn 3.26, 4 Eu 3.40
Eu (0.0000, 0.0000, 0.0000)  12 Zn 3.26, 4 Pu 3.40
Zn (0.6247, 0.6247, 0.6247)  6 Zn 2.77-2.79

Summary:
Crystal system = cubic
ρ = 9.0 g/cm3
Calculated formation energy = -0.16 eV/atom
Total magnetic moment = 2.11 μB per atom

***

No. 9
PmNd2Ho | PBE | optimized geometry

abc: 5.1238 5.1449 5.1449
angles: 90.00 90.00 90.00
Last column: nearest neighbours and their distance in Å.
Positions (direct):
Ho (0.5000, 0.5000, 0.5000)  8 Nd 3.63, 4 Pm 3.64
Pm (0.5000, 0.0000, 0.0000)  8 Nd 3.63, 4 Ho 3.64
Nd (0.0000, 0.5000, 0.0000)  4 Ho 3.63, 4 Pm 3.63, 4 Nd 3.64
Nd (0.0000, 0.0000, 0.5000)  4 Ho 3.63, 4 Pm 3.63, 4 Nd 3.64

Summary:
Crystal system = tetragonal
ρ = 7.3 g/cm3
Energy above the most stable polymorph in this dataset = 0.002 eV per atom
Calculated formation energy = 0.02 eV/atom
Total magnetic moment = 0.00 μB per atom

***

No. 10
ZrTl2AgPt | PBE | optimized geometry

abc: 5.0914 5.3495 5.0914
angles: 90.00 90.00 90.00
Last column: nearest neighbours and their distance in Å.
Positions (direct):
Zr (0.0000, 0.5000, 0.0000)  2 Ag 2.67
Tl (0.0000, 0.0000, 0.5000)  2 Ag 2.55
Ag (0.0000, 0.0000, 0.0000)  4 Tl 2.55, 2 Zr 2.67
Pt (0.5000, 0.5000, 0.5000)  4 Zr 3.60, 8 Tl 3.69
Tl (0.5000, 0.0000, 0.0000)  2 Ag 2.55

Summary:
Crystal system = tetragonal
ρ = 9.6 g/cm3
Calculated formation energy = 0.90 eV/atom
Total magnetic moment = 0.00 μB per atom

***

No. 11
U2NiC2 | PBE | optimized geometry

abc: 3.5332 3.5332 6.3140
angles: 106.25 106.25 90.00
Last column: nearest neighbours and their distance in Å.
Positions (direct):
Ni (0.0000, 0.0000, 0.0000)  2 C 1.91
C (0.8352, 0.8352, 0.6705)  1 Ni 1.91
U (0.3585, 0.3585, 0.7170)  5 C 2.25-2.51
C (0.1648, 0.1648, 0.3295)  1 Ni 1.91
U (0.6415, 0.6415, 0.2830)  5 C 2.25-2.51

Summary:
Crystal system = tetragonal
ρ = 12.8 g/cm3
Calculated formation energy = -0.17 eV/atom
Total magnetic moment = 0.37 μB per atom

***

No. 12
BaIn2P | PBE | optimized geometry

abc: 5.8862 5.8862 5.8862
angles: 130.34 130.34 72.86
Last column: nearest neighbours and their distance in Å.
Positions (direct):
P (0.5000, 0.5000, 0.0000)  4 Ba 3.42, 8 In 3.42-3.50
In (0.0000, 0.0000, 0.0000)  4 Ba 3.42, 4 In 3.42, 4 P 3.50
Ba (0.7500, 0.2500, 0.5000)  8 In 3.42-3.50, 4 P 3.42
In (0.2500, 0.7500, 0.5000)  4 In 3.42, 4 P 3.42, 4 Ba 3.50

Summary:
Crystal system = tetragonal
ρ = 5.7 g/cm3
Calculated formation energy = -0.17 eV/atom
Total magnetic moment = 0.00 μB per atom